[1]
# KS3Cl

Crystalline KS3Cl at its relaxed geometry (PBE-GGA, the Alexandria database).

abc: 6.115 6.115 6.115
angles: 90.00 90.00 90.00
Site moments in Bohr magnetons follow the coordinates.
Fractional positions:
S (0.000, 0.500, 0.000)  1.06
Cl (0.500, 0.500, 0.500)  0.43
K (0.000, 0.000, 0.000)  -0.01
S (0.500, 0.000, 0.000)  1.04
S (0.000, 0.000, 0.500)  1.05

The value obtained for the energy above the most stable polymorph in this dataset is 8.54 eV/f.u. The total magnetization comes out at 1.200 μB/atom. Its symmetry is Pm-3m, No. 221. As for the electronic total energy: -9.73 eV for the cell shown.

=====

[2]
# La3CrOs

Crystalline La3CrOs at its relaxed geometry (PBE-GGA, the Alexandria database).

abc: 5.074 5.074 5.074
angles: 90.00 90.00 90.00
Fractional positions:
La (0.000, 0.500, 0.000)
Cr (0.000, 0.000, 0.000)
La (0.000, 0.000, 0.500)
La (0.500, 0.000, 0.000)
Os (0.500, 0.500, 0.500)

The calculation puts the formation enthalpy at 0 K at 79.60 kJ per mole of atoms. The total magnetization comes out at 0.000 μB/atom. Its symmetry is Pm-3m, No. 221. As for the electronic total energy: -31.51 eV for the cell shown.

=====

[3]
# SrLiV

Crystalline SrLiV at its relaxed geometry (PBE-GGA, the Alexandria database).

abc: 5.471 5.471 12.322
angles: 90.00 90.00 120.00
Site moments in Bohr magnetons follow the coordinates.
Fractional positions:
Sr (0.000, 0.000, 0.750)  0.17
Li (0.667, 0.333, 0.750)  0.01
Li (0.333, 0.667, 0.250)  0.01
Sr (0.000, 0.000, 0.250)  0.17
V (0.000, 0.000, 0.000)  3.29
V (0.000, 0.000, 0.500)  3.29

The calculation puts the formation enthalpy at 0 K at 181.33 kJ per mole of atoms. The value obtained for the energy above the most stable polymorph in this dataset is 4.28 eV/f.u. The total magnetization comes out at 1.647 μB/atom. Its symmetry is P6_3/mmc, No. 194. As for the electronic total energy: -14.15 eV for the cell shown.

=====

[4]
# Ce3TeIr

Crystalline Ce3TeIr at its relaxed geometry (PBE-GGA, the Alexandria database).

abc: 5.819 8.146 6.362
angles: 95.52 90.00 110.92
Site moments in Bohr magnetons follow the coordinates.
Fractional positions:
Ce (0.666, 0.332, 0.954)  0.65
Ce (0.823, 0.647, 0.479)  0.63
Ce (0.334, 0.668, 0.046)  0.65
Ir (0.146, 0.293, 0.967)  -0.04
Ce (0.017, 0.035, 0.272)  0.42
Ce (0.177, 0.353, 0.521)  0.63
Ce (0.983, 0.965, 0.728)  0.42
Te (0.389, 0.778, 0.575)  -0.01
Te (0.611, 0.222, 0.425)  -0.01
Ir (0.854, 0.707, 0.033)  -0.04

The total magnetization comes out at 0.411 μB/atom. Its symmetry is C2/m, No. 12. As for the electronic total energy: -66.50 eV for the cell shown.

=====

[5]
# Rb3Pu2HfS6

Crystalline Rb3Pu2HfS6 at its relaxed geometry (PBE-GGA, the Alexandria database).

abc: 6.993 6.993 8.008
angles: 98.39 98.39 119.99
Site moments in Bohr magnetons follow the coordinates.
Fractional positions:
S (0.626, 0.937, 0.811)  -0.06
S (0.752, 0.752, 0.190)  -0.06
S (0.374, 0.063, 0.189)  -0.06
Rb (0.500, 0.500, 0.500)  0.00
Pu (0.334, 0.666, 0.000)  5.24
Hf (0.000, 0.000, 0.000)  0.21
S (0.248, 0.248, 0.810)  -0.06
S (0.063, 0.374, 0.189)  -0.06
Pu (0.666, 0.334, 0.000)  5.24
Rb (0.830, 0.170, 0.500)  0.00
S (0.937, 0.626, 0.811)  -0.06
Rb (0.170, 0.830, 0.500)  0.00

The total magnetization comes out at 0.917 μB/atom. Its symmetry is C2/m, No. 12. As for the electronic total energy: -84.65 eV for the cell shown.

=====

[6]
# Bi2AsHO6

Crystalline Bi2AsHO6 at its relaxed geometry (PBE-GGA, the Alexandria database).

abc: 5.454 5.454 6.360
angles: 120.27 120.27 87.00
Fractional positions:
Bi (0.785, 0.273, 0.627)
O (0.191, 0.721, 0.908)
O (0.220, 0.220, 0.400)
H (0.617, 0.618, 0.220)
O (0.753, 0.754, 0.432)
Bi (0.272, 0.785, 0.627)
O (0.721, 0.191, 0.908)
As (0.010, 0.010, 0.018)
O (0.733, 0.733, 0.919)
O (0.197, 0.198, 0.938)

The total magnetization comes out at 0.000 μB/atom. Its symmetry is Cm, No. 8. As for the electronic total energy: -57.51 eV for the cell shown.

=====

[7]
# FeIBr2

Crystalline FeIBr2 at its relaxed geometry (PBE-GGA, the Alexandria database).

abc: 11.720 11.720 11.720
angles: 17.41 17.41 17.41
Fractional positions:
Br (0.871, 0.871, 0.871)
I (0.000, 0.000, 0.000)
Fe (0.500, 0.500, 0.500)
Br (0.129, 0.129, 0.129)

The value obtained for the energy above the most stable polymorph in this dataset is 0.96 eV/f.u. The total magnetization comes out at 0.000 μB/atom. Its symmetry is R-3m, No. 166. As for the electronic total energy: -13.45 eV for the cell shown.

=====

[8]
# Pr3Nd2Er2

Crystalline Pr3Nd2Er2 at its relaxed geometry (PBE-GGA, the Alexandria database).

abc: 3.561 8.678 9.118
angles: 118.21 101.26 90.00
Fractional positions:
Pr (0.786, 0.206, 0.573)
Nd (0.435, 0.088, 0.871)
Pr (0.000, 0.500, 0.000)
Er (0.853, 0.669, 0.706)
Nd (0.565, 0.912, 0.129)
Er (0.147, 0.331, 0.294)
Pr (0.214, 0.794, 0.427)

The calculation puts the formation enthalpy at 0 K at 11.23 kJ per mole of atoms. The value obtained for the energy above the most stable polymorph in this dataset is 0.70 eV/f.u. The total magnetization comes out at 0.000 μB/atom. Its symmetry is C2/m, No. 12. As for the electronic total energy: -32.19 eV for the cell shown.

=====

[9]
# AlCr2Cu

Crystalline AlCr2Cu at its relaxed geometry (PBE-GGA, the Alexandria database).

abc: 2.977 2.977 5.755
angles: 90.00 90.00 90.00
Site moments in Bohr magnetons follow the coordinates.
Fractional positions:
Cr (0.500, 0.500, 0.221)  1.47
Cu (0.000, 0.000, 0.503)  0.05
Al (0.500, 0.500, 0.745)  0.01
Cr (0.000, 0.000, 0.031)  -1.03

The calculation puts the formation enthalpy at 0 K at -1.21 kJ per mole of atoms. The total magnetization comes out at 0.131 μB/atom. Its symmetry is P4mm, No. 99. As for the electronic total energy: -27.14 eV for the cell shown.

=====

[10]
# HoPaNiRh

Crystalline HoPaNiRh at its relaxed geometry (PBE-GGA, the Alexandria database).

abc: 3.574 4.474 5.354
angles: 90.00 109.50 90.00
Fractional positions:
Ni (0.411, 0.000, 0.821)
Rh (0.586, 0.500, 0.173)
Pa (0.864, 0.500, 0.727)
Ho (0.139, 0.000, 0.279)

The calculation puts the formation enthalpy at 0 K at -57.93 kJ per mole of atoms. The value obtained for the energy above the most stable polymorph in this dataset is 0.00 eV/f.u. The total magnetization comes out at 0.000 μB/atom. Its symmetry is Amm2, No. 38. As for the electronic total energy: -29.61 eV for the cell shown.

=====

[11]
# TlInPt2

Crystalline TlInPt2 at its relaxed geometry (PBE-GGA, the Alexandria database).

abc: 9.020 9.020 9.020
angles: 20.87 20.87 20.87
Fractional positions:
Pt (0.999, 0.999, 0.999)
Tl (0.507, 0.507, 0.507)
In (0.740, 0.740, 0.740)
Pt (0.255, 0.255, 0.255)

The calculation puts the formation enthalpy at 0 K at 10.57 kJ per mole of atoms. The total magnetization comes out at 0.000 μB/atom. Its symmetry is R3m, No. 160. As for the electronic total energy: -16.75 eV for the cell shown.

=====

[12]
# In2SnP2

Crystalline In2SnP2 at its relaxed geometry (PBE-GGA, the Alexandria database).

abc: 7.737 7.737 3.717
angles: 90.00 90.00 90.00
Fractional positions:
In (0.355, 0.145, 0.500)
In (0.855, 0.355, 0.500)
P (0.337, 0.837, 0.000)
Sn (0.000, 0.000, 0.000)
In (0.645, 0.855, 0.500)
P (0.163, 0.337, 0.000)
In (0.145, 0.645, 0.500)
P (0.837, 0.663, 0.000)
Sn (0.500, 0.500, 0.000)
P (0.663, 0.163, 0.000)

The calculation puts the formation enthalpy at 0 K at 15.48 kJ per mole of atoms. The value obtained for the energy above the most stable polymorph in this dataset is 0.00 eV/f.u. The total magnetization comes out at 0.000 μB/atom. Its symmetry is P4/mbm, No. 127. As for the electronic total energy: -38.99 eV for the cell shown.